First-principles (PBE) data for a relaxed TlZnAs crystal, as listed in Alexandria via LeMat-Bulk.

Cell and atoms, written as POSCAR:
```
TlZnAs
1.0
4.663 0.000 0.000
2.332 4.038 0.000
2.332 1.346 3.807
As Tl Zn
1 1 1
direct
0.000 0.000 0.000
0.500 0.500 0.500
0.250 0.250 0.250
```

Output
Space group: F-43m (216)
Final energy, eV per atom: -2.6444
Formation energy, eV/atom: 0.12
Calculated density, g cm⁻³: 8.0
Volume, Å³/atom: 23.9